NaCdTcCl6 | GGA-PBE | optimized geometry

Cell and atoms, written as extended XYZ:
```
18
Lattice="6.607 0.000 0.000 -3.304 5.722 0.000 0.000 0.000 11.384" Properties=species:S:1:pos:R:3 pbc="T T T"
Cl 2.328 3.613 1.442
Tc 3.304 1.907 2.846
Cd 0.000 0.000 5.692
Cl 0.975 2.109 9.941
Cl 4.279 3.613 4.250
Cl -0.989 5.512 7.134
Cl 4.293 0.210 4.250
Cl 5.268 1.899 1.442
Cl 0.989 5.512 9.941
Cl 1.965 3.823 7.134
Tc 0.000 3.815 8.538
Na 0.000 3.815 2.846
Na 3.304 1.907 8.538
Cl 1.339 1.899 4.250
Cl -1.965 3.823 9.941
Cl 2.314 0.210 1.442
Cd 0.000 0.000 0.000
Cl -0.975 2.109 7.134
```

Values from the calculation:
SG ... P-31c
Calculated total energy ... -3.59 eV/atom
Calculated volume ... 23.91 A^3/atom
Fermi-level density of states ... 0.48 states/eV per atom